1.
First-principles (GGA-PBE) data for a relaxed NdGd3 crystal, as listed in Alexandria.

a b c (Å): 8.1107 8.1107 8.1107
angles (deg): 90.00 90.00 90.00
Last column: nearest neighbours and their distance in Å.
Space group Fm-3m (No. 225)
One atom of each set of equivalent atoms:
Nd: 0.0000 0.0000 0.0000 x4  8 Gd 3.51
Gd: 0.0000 0.0000 0.5000 x4  8 Gd 3.51
Gd: 0.2500 0.2500 0.2500 x8  4 Gd 3.51, 4 Nd 3.51

Output
Its density is 7.67 g cm⁻³. For the calculated total energy, the calculation gives -11.653 eV per atom. As for the volume: 33.35 A^3/atom. The density of states at the Fermi level is 26.75 states/eV per cell. For the calculated formation energy, the calculation gives 100 meV per atom.

***

2.
First-principles (GGA-PBE) data for a relaxed Nd2GdNi crystal, as listed in Alexandria.

a b c (Å): 3.6910 3.6910 31.5562
angles (deg): 90.00 90.00 120.00
Last column: nearest neighbours and their distance in Å.
Space group R-3m (No. 166, hexagonal axes)
One atom of each set of equivalent atoms:
Nd: 0.0000 0.0000 0.1106 x6  3 Ni 2.77
Gd: 0.0000 0.0000 0.0000 x3  2 Nd 3.49, 6 Gd 3.69
Ni: 0.0000 0.0000 0.5000 x3  6 Nd 2.77

Output
Its density is 6.75 g cm⁻³. For the calculated total energy, the calculation gives -7.238 eV per atom. As for the volume: 31.03 A^3/atom. The density of states at the Fermi level is 19.55 states/eV per cell. For the calculated formation energy, the calculation gives 112 meV per atom.

***

3.
First-principles (GGA-PBE) data for a relaxed NdGdNi2 crystal, as listed in Alexandria.

a b c (Å): 6.9063 6.9063 6.9063
angles (deg): 90.00 90.00 90.00
Last column: nearest neighbours and their distance in Å.
Space group Fm-3m (No. 225)
One atom of each set of equivalent atoms:
Nd: 0.0000 0.0000 0.0000 x4  8 Ni 2.99
Gd: 0.0000 0.0000 0.5000 x4  8 Ni 2.99
Ni: 0.2500 0.2500 0.2500 x8  4 Gd 2.99, 4 Nd 2.99

Output
Its density is 8.45 g cm⁻³. For the calculated total energy, the calculation gives -7.880 eV per atom. As for the volume: 20.59 A^3/atom. The density of states at the Fermi level is 16.96 states/eV per cell. For the calculated formation energy, the calculation gives -277 meV per atom.

***

4.
First-principles (GGA-PBE) data for a relaxed NdGdNi2 crystal, as listed in Alexandria.

a b c (Å): 4.0026 4.0026 19.5757
angles (deg): 90.00 90.00 120.00
Last column: nearest neighbours and their distance in Å.
Space group R-3m (No. 166, hexagonal axes)
One atom of each set of equivalent atoms:
Nd: 0.0000 0.0000 0.0000 x3  6 Ni 2.86
Gd: 0.0000 0.0000 0.5000 x3  6 Ni 2.80
Ni: 0.0000 0.0000 0.2472 x6  3 Gd 2.80, 3 Nd 2.86

Output
Its density is 7.68 g cm⁻³. For the calculated total energy, the calculation gives -7.783 eV per atom. As for the volume: 22.63 A^3/atom. The density of states at the Fermi level is 6.97 states/eV per cell. For the calculated formation energy, the calculation gives -180 meV per atom.

***

5.
First-principles (GGA-PBE) data for a relaxed Nd2GdNi crystal, as listed in Alexandria.

a b c (Å): 3.5679 3.5679 8.7594
angles (deg): 90.00 90.00 90.00
Last column: nearest neighbours and their distance in Å.
Space group P4/mmm (No. 123)
One atom of each set of equivalent atoms:
Nd: 0.0000 0.0000 0.1903 x2  4 Ni 3.02, 1 Nd 3.33
Gd: 0.5000 0.5000 0.5000 x1  4 Gd 3.57, 8 Nd 3.70
Ni: 0.5000 0.5000 0.0000 x1  8 Nd 3.02

Output
Its density is 7.51 g cm⁻³. For the calculated total energy, the calculation gives -7.423 eV per atom. As for the volume: 27.88 A^3/atom. The density of states at the Fermi level is 6.10 states/eV per cell. For the calculated formation energy, the calculation gives -73 meV per atom.

***

6.
First-principles (GGA-PBE) data for a relaxed NdGdNi2 crystal, as listed in Alexandria.

a b c (Å): 4.9075 4.9075 3.4164
angles (deg): 90.00 90.00 90.00
Last column: nearest neighbours and their distance in Å.
Space group P4/mmm (No. 123)
One atom of each set of equivalent atoms:
Nd: 0.0000 0.0000 0.0000 x1  8 Ni 2.99
Gd: 0.5000 0.5000 0.0000 x1  8 Ni 2.99
Ni: 0.0000 0.5000 0.5000 x2  4 Gd 2.99, 4 Nd 2.99

Output
Its density is 8.45 g cm⁻³. For the calculated total energy, the calculation gives -7.880 eV per atom. As for the volume: 20.57 A^3/atom. The density of states at the Fermi level is 3.36 states/eV per cell. For the calculated formation energy, the calculation gives -277 meV per atom.

***

7.
First-principles (GGA-PBE) data for a relaxed NdGdNiOs crystal, as listed in Alexandria.

a b c (Å): 6.9437 6.9437 6.9437
angles (deg): 90.00 90.00 90.00
Last column: nearest neighbours and their distance in Å.
Space group F-43m (No. 216)
One atom of each set of equivalent atoms:
Nd: 0.0000 0.0000 0.0000 x4  4 Ni 3.01, 4 Os 3.01
Gd: 0.0000 0.0000 0.5000 x4  4 Os 3.01, 4 Ni 3.01
Ni: 0.2500 0.2500 0.7500 x4  4 Gd 3.01, 4 Nd 3.01
Os: 0.2500 0.2500 0.2500 x4  4 Gd 3.01, 4 Nd 3.01

Output
Its density is 10.92 g cm⁻³. For the calculated total energy, the calculation gives -9.100 eV per atom. As for the volume: 20.92 A^3/atom. The density of states at the Fermi level is 11.37 states/eV per cell. For the calculated formation energy, the calculation gives -135 meV per atom.

***

8.
First-principles (GGA-PBE) data for a relaxed NdGdNiPd crystal, as listed in Alexandria.

a b c (Å): 7.0629 7.0629 7.0629
angles (deg): 90.00 90.00 90.00
Last column: nearest neighbours and their distance in Å.
Space group F-43m (No. 216)
One atom of each set of equivalent atoms:
Nd: 0.0000 0.0000 0.0000 x4  4 Ni 3.06, 4 Pd 3.06
Gd: 0.0000 0.0000 0.5000 x4  4 Pd 3.06, 4 Ni 3.06
Ni: 0.2500 0.2500 0.7500 x4  4 Gd 3.06, 4 Nd 3.06
Pd: 0.2500 0.2500 0.2500 x4  4 Nd 3.06, 4 Gd 3.06

Output
Its density is 8.80 g cm⁻³. For the calculated total energy, the calculation gives -7.970 eV per atom. As for the volume: 22.02 A^3/atom. The density of states at the Fermi level is 15.87 states/eV per cell. For the calculated formation energy, the calculation gives -514 meV per atom.

***

9.
First-principles (GGA-PBE) data for a relaxed NdGdNiPt crystal, as listed in Alexandria.

a b c (Å): 7.0491 7.0491 7.0491
angles (deg): 90.00 90.00 90.00
Last column: nearest neighbours and their distance in Å.
Space group F-43m (No. 216)
One atom of each set of equivalent atoms:
Nd: 0.0000 0.0000 0.0000 x4  4 Ni 3.05, 4 Pt 3.05
Gd: 0.0000 0.0000 0.5000 x4  4 Ni 3.05, 4 Pt 3.05
Ni: 0.2500 0.2500 0.2500 x4  4 Gd 3.05, 4 Nd 3.05
Pt: 0.2500 0.2500 0.7500 x4  4 Gd 3.05, 4 Nd 3.05

Output
Its density is 10.53 g cm⁻³. For the calculated total energy, the calculation gives -8.354 eV per atom. As for the volume: 21.89 A^3/atom. The density of states at the Fermi level is 15.26 states/eV per cell. For the calculated formation energy, the calculation gives -687 meV per atom.

***

10.
First-principles (GGA-PBE) data for a relaxed NdGdTlNi crystal, as listed in Alexandria.

a b c (Å): 7.4010 7.4010 7.4010
angles (deg): 90.00 90.00 90.00
Last column: nearest neighbours and their distance in Å.
Space group F-43m (No. 216)
One atom of each set of equivalent atoms:
Nd: 0.0000 0.0000 0.0000 x4  4 Tl 3.20, 4 Ni 3.20
Gd: 0.0000 0.0000 0.5000 x4  4 Tl 3.20, 4 Ni 3.20
Tl: 0.2500 0.2500 0.2500 x4  4 Gd 3.20, 4 Nd 3.20
Ni: 0.2500 0.2500 0.7500 x4  4 Nd 3.20, 4 Gd 3.20

Output
Its density is 9.25 g cm⁻³. For the calculated total energy, the calculation gives -6.950 eV per atom. As for the volume: 25.34 A^3/atom. The density of states at the Fermi level is 17.46 states/eV per cell. For the calculated formation energy, the calculation gives -200 meV per atom.

***

11.
First-principles (GGA-PBE) data for a relaxed NdGd3O crystal, as listed in Alexandria.

a b c (Å): 5.0230 5.0230 5.0230
angles (deg): 90.00 90.00 90.00
Last column: nearest neighbours and their distance in Å.
Space group Pm-3m (No. 221)
One atom of each set of equivalent atoms:
Nd: 0.0000 0.0000 0.0000 x1  12 Gd 3.55
Gd: 0.0000 0.5000 0.5000 x3  2 O 2.51
O: 0.5000 0.5000 0.5000 x1  6 Gd 2.51

Output
Its density is 8.28 g cm⁻³. For the calculated total energy, the calculation gives -11.462 eV per atom. As for the volume: 25.35 A^3/atom. The density of states at the Fermi level is 6.85 states/eV per cell. Its uncorrected formation energy is -1068 meV per atom.

***

12.
First-principles (GGA-PBE) data for a relaxed Nd3GdO crystal, as listed in Alexandria.

a b c (Å): 5.1076 5.1076 5.1076
angles (deg): 90.00 90.00 90.00
Last column: nearest neighbours and their distance in Å.
Space group Pm-3m (No. 221)
One atom of each set of equivalent atoms:
Nd: 0.0000 0.0000 0.5000 x3  2 O 2.55
Gd: 0.5000 0.5000 0.5000 x1  12 Nd 3.61
O: 0.0000 0.0000 0.0000 x1  6 Nd 2.55

Output
Its density is 7.55 g cm⁻³. For the calculated total energy, the calculation gives -7.755 eV per atom. As for the volume: 26.65 A^3/atom. The density of states at the Fermi level is 4.88 states/eV per cell. Its uncorrected formation energy is -1086 meV per atom.

***

13.
First-principles (GGA-PBE) data for a relaxed Nd4Gd2O crystal, as listed in Alexandria.

a b c (Å): 4.9559 4.9559 17.7356
angles (deg): 90.00 90.00 90.00
Last column: nearest neighbours and their distance in Å.
Space group I4/mmm (No. 139)
One atom of each set of equivalent atoms:
Nd: 0.0000 0.0000 0.1396 x4  1 O 2.48
Nd: 0.0000 0.5000 0.0000 x4  2 O 2.48
Gd: 0.0000 0.0000 0.3413 x4  9 Nd 3.52-3.75
O: 0.0000 0.0000 0.0000 x2  6 Nd 2.48

Output
Its density is 6.92 g cm⁻³. For the calculated total energy, the calculation gives -8.070 eV per atom. As for the volume: 31.12 A^3/atom. The density of states at the Fermi level is 20.33 states/eV per cell. Its uncorrected formation energy is -614 meV per atom.

***

14.
First-principles (GGA-PBE) data for a relaxed NdGd2O crystal, as listed in Alexandria.

a b c (Å): 3.5813 3.5813 26.8372
angles (deg): 90.00 90.00 120.00
Last column: nearest neighbours and their distance in Å.
Space group R-3m (No. 166, hexagonal axes)
One atom of each set of equivalent atoms:
Nd: 0.0000 0.0000 0.0000 x3  6 Nd 3.58, 6 Gd 3.72
Gd: 0.0000 0.0000 0.2183 x6  3 O 2.49
O: 0.0000 0.0000 0.5000 x3  6 Gd 2.49

Output
Its density is 7.93 g cm⁻³. For the calculated total energy, the calculation gives -10.788 eV per atom. As for the volume: 24.84 A^3/atom. The density of states at the Fermi level is 15.22 states/eV per cell. Its uncorrected formation energy is -1316 meV per atom.

***

15.
First-principles (GGA-PBE) data for a relaxed NdGdO crystal, as listed in Alexandria.

a b c (Å): 3.6334 3.6334 5.9688
angles (deg): 90.00 90.00 120.00
Last column: nearest neighbours and their distance in Å.
Space group P3m1 (No. 156)
One atom of each set of equivalent atoms:
Nd: 0.0000 0.0000 0.0000 x1  3 O 2.61
Gd: 0.3333 0.6667 0.4619 x1  3 O 2.42
O: 0.6667 0.3333 0.2592 x1  3 Gd 2.42, 3 Nd 2.61

Output
Its density is 7.73 g cm⁻³. For the calculated total energy, the calculation gives -9.678 eV per atom. As for the volume: 22.75 A^3/atom. The density of states at the Fermi level is 2.56 states/eV per cell. Its uncorrected formation energy is -1742 meV per atom.

***

16.
First-principles (GGA-PBE) data for a relaxed Nd3GdZr4O14 crystal, as listed in Alexandria.

a b c (Å): 7.4950 7.4950 18.6224
angles (deg): 90.00 90.00 120.00
Last column: nearest neighbours and their distance in Å.
Space group R-3m (No. 166, hexagonal axes)
One atom of each set of equivalent atoms:
Nd: 0.0000 0.5000 0.0000 x9  6 O 2.35
Gd: 0.0000 0.0000 0.5000 x3  6 O 2.30
Zr: 0.0000 0.0000 0.0000 x3  8 O 2.25-2.39
Zr: 0.0000 0.5000 0.5000 x9  8 O 2.27-2.29
O: 0.0000 0.0000 0.1282 x6  4 Zr 2.28-2.39
O: 0.0005 0.5003 0.8741 x18  2 Zr 2.29, 1 Gd 2.30, 1 Nd 2.35
O: 0.0111 0.5055 0.6218 x18  2 Zr 2.25-2.27, 2 Nd 2.35

Output
Its density is 6.48 g cm⁻³. For the calculated total energy, the calculation gives -9.056 eV per atom. As for the volume: 13.73 A^3/atom. The density of states at the Fermi level is 6.24 states/eV per cell. Its uncorrected formation energy is -3057 meV per atom.

***

17.
First-principles (GGA-PBE) data for a relaxed NdGd2Os crystal, as listed in Alexandria.

a b c (Å): 3.4431 3.4431 9.4129
angles (deg): 90.00 90.00 90.00
Last column: nearest neighbours and their distance in Å.
Space group P4/mmm (No. 123)
One atom of each set of equivalent atoms:
Nd: 0.0000 0.0000 0.0000 x1  4 Nd 3.44
Gd: 0.5000 0.5000 0.3221 x2  4 Os 2.95
Os: 0.0000 0.0000 0.5000 x1  8 Gd 2.95

Output
Its density is 9.66 g cm⁻³. For the calculated total energy, the calculation gives -11.119 eV per atom. As for the volume: 27.90 A^3/atom. The density of states at the Fermi level is 3.01 states/eV per cell. For the calculated formation energy, the calculation gives -79 meV per atom.

***

18.
First-principles (GGA-PBE) data for a relaxed NdGdOs crystal, as listed in Alexandria.

a b c (Å): 6.8913 6.8913 6.8913
angles (deg): 90.00 90.00 90.00
Last column: nearest neighbours and their distance in Å.
Space group F-43m (No. 216)
One atom of each set of equivalent atoms:
Nd: 0.0000 0.0000 0.0000 x4  4 Os 2.98
Gd: 0.0000 0.0000 0.5000 x4  4 Os 2.98
Os: 0.2500 0.2500 0.7500 x4  4 Gd 2.98, 4 Nd 2.98

Output
Its density is 9.98 g cm⁻³. For the calculated total energy, the calculation gives -10.129 eV per atom. As for the volume: 27.27 A^3/atom. The density of states at the Fermi level is 7.34 states/eV per cell. For the calculated formation energy, the calculation gives -103 meV per atom.

***

19.
First-principles (GGA-PBE) data for a relaxed Nd2GdOs crystal, as listed in Alexandria.

a b c (Å): 3.6164 3.6164 32.7345
angles (deg): 90.00 90.00 120.00
Last column: nearest neighbours and their distance in Å.
Space group R-3m (No. 166, hexagonal axes)
One atom of each set of equivalent atoms:
Nd: 0.0000 0.0000 0.1064 x6  3 Os 2.87
Gd: 0.0000 0.0000 0.0000 x3  2 Nd 3.48, 6 Gd 3.62
Os: 0.0000 0.0000 0.5000 x3  6 Nd 2.87

Output
Its density is 8.55 g cm⁻³. For the calculated total energy, the calculation gives -8.329 eV per atom. As for the volume: 30.90 A^3/atom. The density of states at the Fermi level is 23.46 states/eV per cell. For the calculated formation energy, the calculation gives 383 meV per atom.

***

20.
First-principles (GGA-PBE) data for a relaxed NdGdOs crystal, as listed in Alexandria.

a b c (Å): 3.4555 3.4555 13.6772
angles (deg): 90.00 90.00 90.00
Last column: nearest neighbours and their distance in Å.
Space group I4mm (No. 107)
One atom of each set of equivalent atoms:
Nd: 0.0000 0.0000 0.0000 x2  4 Os 3.00
Gd: 0.0000 0.0000 0.2481 x2  4 Os 2.95
Os: 0.0000 0.0000 0.6277 x2  4 Gd 2.95, 4 Nd 3.00

Output
Its density is 10.00 g cm⁻³. For the calculated total energy, the calculation gives -10.124 eV per atom. As for the volume: 27.22 A^3/atom. The density of states at the Fermi level is 3.89 states/eV per cell. For the calculated formation energy, the calculation gives -98 meV per atom.